No. 1
# AgGe2Te8

A relaxed AgGe2Te8 crystal (GGA-PBE, Alexandria via LeMat-Bulk).

Values from the calculation:
As for the magnetic moment: 0.00 μB/atom. For the density of states at the Fermi level, the calculation gives 4.095 states/eV per cell. The formation energy (no corrections) is 0.190 eV per atom. The total energy is -3.193 eV/atom.

Cell lengths 8.1198, 8.1198, 6.2609 Å; angles 90.00, 90.00, 120.00 degrees
Space group P-3m1 (No. 164)
Symmetry-distinct sites (fractional):
Ag1 0.0000 0.0000 0.0000 [1 per cell]
Ge1 0.3333 0.6667 0.9710 [2 per cell]
Te1 0.1693 0.3387 0.7465 [6 per cell]
Te2 0.3333 0.6667 0.4219 [2 per cell]


No. 2
# Er2Zr3UN6

A relaxed Er2Zr3UN6 crystal (GGA-PBE, Alexandria via LeMat-Bulk).

Values from the calculation:
As for the magnetic moment: 0.00 μB/atom. For the density of states at the Fermi level, the calculation gives 9.123 states/eV per cell. The formation energy (no corrections) is -1.702 eV per atom. The total energy is -9.702 eV/atom.

Cell lengths 5.777, 10.004, 5.773 Å; angles 90.00, 109.30, 90.00 degrees
Space group C2/m (No. 12)
Symmetry-distinct sites (fractional):
Er1 0.000 0.167 0.000 [4 per cell]
Zr1 0.000 0.000 0.500 [2 per cell]
Zr2 0.000 0.329 0.500 [4 per cell]
U1 0.000 0.500 0.000 [2 per cell]
N1 0.238 0.500 0.746 [4 per cell]
N2 0.247 0.338 0.254 [8 per cell]


No. 3
# ThFeRu

A relaxed ThFeRu crystal (GGA-PBE, Alexandria via LeMat-Bulk).

Values from the calculation:
For the energy of formation from the pure elements, the calculation gives -0.15 eV per atom. As for the magnetic moment: 0.70 μB/atom. For the density of states at the Fermi level, the calculation gives 2.597 states/eV per cell. The total energy is -8.532 eV/atom.

Cell lengths 4.1585, 4.1585, 4.0313 Å; angles 90.00, 90.00, 120.00 degrees
Space group P-6m2 (No. 187)
Symmetry-distinct sites (fractional):
Th1 0.0000 0.0000 0.0000 [1 per cell]
Fe1 0.3333 0.6667 0.5000 [1 per cell]
Ru1 0.6667 0.3333 0.5000 [1 per cell]


No. 4
# ZnSiNi2

A relaxed ZnSiNi2 crystal (GGA-PBE, Alexandria via LeMat-Bulk).

Values from the calculation:
As for the magnetic moment: 0.00 μB/atom. For the density of states at the Fermi level, the calculation gives 4.288 states/eV per cell. The formation energy (no corrections) is -0.347 eV per atom. The total energy is -4.911 eV/atom.

Cell lengths 5.693, 5.755, 2.828 Å; angles 90.00, 90.00, 90.00 degrees
Space group Cmmm (No. 65)
Symmetry-distinct sites (fractional):
Zn1 0.000 0.000 0.000 [2 per cell]
Si1 0.000 0.500 0.000 [2 per cell]
Ni1 0.250 0.250 0.500 [4 per cell]


No. 5
# Sr4PmPa3N8

A relaxed Sr4PmPa3N8 crystal (GGA-PBE, Alexandria via LeMat-Bulk).

Values from the calculation:
As for the magnetic moment: 0.00 μB/atom. For the density of states at the Fermi level, the calculation gives 24.273 states/eV per cell. The formation energy (no corrections) is -1.344 eV per atom. The total energy is -8.004 eV/atom.

Cell lengths 7.2534, 7.2534, 18.0306 Å; angles 90.00, 90.00, 120.00 degrees
Space group R-3m (No. 166, hexagonal axes)
Symmetry-distinct sites (fractional):
Sr1 0.0000 0.0000 0.0000 [3 per cell]
Sr2 0.0000 0.5000 0.0000 [9 per cell]
Pm1 0.0000 0.0000 0.5000 [3 per cell]
Pa1 0.0000 0.5000 0.5000 [9 per cell]
N1 0.0000 0.0000 0.2324 [6 per cell]
N2 0.0217 0.5108 0.7674 [18 per cell]


No. 6
# Pm6Tl3H

A relaxed Pm6Tl3H crystal (GGA-PBE, Alexandria via LeMat-Bulk).

Values from the calculation:
As for the magnetic moment: 0.00 μB/atom. For the density of states at the Fermi level, the calculation gives 31.348 states/eV per cell. The total energy is -4.203 eV/atom.

Cell lengths 11.906, 17.325, 5.456 Å; angles 90.00, 90.00, 90.00 degrees
Space group Cmc2_1 (No. 36)
Symmetry-distinct sites (fractional):
Pm1 0.000 0.087 0.000 [4 per cell]
Pm2 0.000 0.240 0.510 [4 per cell]
Pm3 0.171 0.423 0.499 [8 per cell]
Pm4 0.181 0.278 0.002 [8 per cell]
Tl1 0.000 0.418 0.999 [4 per cell]
Tl2 0.153 0.076 0.499 [8 per cell]
H1 0.000 0.221 0.962 [4 per cell]


What did the fourth record say?
# ZnSiNi2

A relaxed ZnSiNi2 crystal (GGA-PBE, Alexandria via LeMat-Bulk).

Values from the calculation:
As for the magnetic moment: 0.00 μB/atom. For the density of states at the Fermi level, the calculation gives 4.288 states/eV per cell. The formation energy (no corrections) is -0.347 eV per atom. The total energy is -4.911 eV/atom.

Cell lengths 5.693, 5.755, 2.828 Å; angles 90.00, 90.00, 90.00 degrees
Space group Cmmm (No. 65)
Symmetry-distinct sites (fractional):
Zn1 0.000 0.000 0.000 [2 per cell]
Si1 0.000 0.500 0.000 [2 per cell]
Ni1 0.250 0.250 0.500 [4 per cell]